TaZnBi3 (PBEsol, relaxed); energy = -20.78 eV per cell; volume = 27.948 Å³/atom; SG = Pm-3m; energy of formation = 1242 meV/atom; magnetic moment = 2.25 Bohr magnetons per cell
1.0
-4.605 1.797 -1.578
1.220 -1.181 -4.904
-2.057 -4.723 0.626
Zn Bi Ta
1 3 1
Direct
0.000 0.000 0.000
0.000 0.500 0.000
0.000 0.000 0.500
0.500 0.000 0.000
0.500 0.500 0.500